(1)
## LuZr2Tl (GGA-PBE)

Data for a geometry-optimized LuZr2Tl structure.

```
LuZr2Tl
1.0
0.000 3.620 3.620
3.620 0.000 3.620
3.620 3.620 0.000
Zr Lu Tl
2 1 1
Direct
0.750 0.750 0.750 Zr
0.000 0.000 0.000 Zr
0.250 0.250 0.250 Lu
0.500 0.500 0.500 Tl
```

The size of the total moment is 0.6 μB/cell. The uncorrected energy comes out at -23.66 eV for the cell shown. The space-group type is F-43m (216).

***

(2)
## Lu2ZrTl (GGA-PBE)

Data for a geometry-optimized Lu2ZrTl structure.

```
Lu2ZrTl
1.0
0.000 3.673 3.673
3.673 0.000 3.673
3.673 3.673 0.000
Zr Tl Lu
1 1 2
Direct
0.250 0.250 0.250 Zr
0.500 0.500 0.500 Tl
0.000 0.000 0.000 Lu
0.750 0.750 0.750 Lu
```

The size of the total moment is 0.8 μB/cell. The uncorrected energy comes out at -19.60 eV for the cell shown. The space-group type is F-43m (216).

***

Repeat the second record exactly.
## Lu2ZrTl (GGA-PBE)

Data for a geometry-optimized Lu2ZrTl structure.

```
Lu2ZrTl
1.0
0.000 3.673 3.673
3.673 0.000 3.673
3.673 3.673 0.000
Zr Tl Lu
1 1 2
Direct
0.250 0.250 0.250 Zr
0.500 0.500 0.500 Tl
0.000 0.000 0.000 Lu
0.750 0.750 0.750 Lu
```

The size of the total moment is 0.8 μB/cell. The uncorrected energy comes out at -19.60 eV for the cell shown. The space-group type is F-43m (216).